No. 1
First-principles (PBE) data for a relaxed structure of SrRu, as listed in Alexandria.

Cell: 4.341 4.341 4.341 Å, 60.00 60.00 60.00°
Sites, in units of the cell vectors:
Sr (0.000, 0.000, 0.000)
Ru (0.500, 0.500, 0.500)

D(E_F)	4.3	states/eV/cell
space group	Fm-3m (225)
ΔH_f (0 K)	1.32	eV/atom


No. 2
First-principles (PBE) data for a relaxed structure of Ag2ClF, as listed in Alexandria.

Cell: 4.502 4.502 3.332 Å, 90.00 90.00 90.00°
Sites, in units of the cell vectors:
Ag (0.000, 0.500, 0.000)
Ag (0.500, 0.000, 0.000)
Cl (0.000, 0.000, 0.500)
F (0.500, 0.500, 0.500)

D(E_F)	0.4	states/eV/cell
space group	P4/mmm (123)
E above lowest polymorph	93.8	meV per atom
uncorrected formation energy	-0.60	eV per atom